A PBEsol-optimized structure of CoReSi3, computed with SCAN.

M_tot in μB/f.u.: 0.0
Formation energy without anion corrections in eV/atom: 1.017
Final energy in eV/f.u.: -113.36

Cell: 4.1706 4.1706 4.1706 Å, 90.00 90.00 90.00°
Fractional positions:
Co: 0.0000 0.0000 0.0000
Re: 0.5000 0.5000 0.5000
Si: 0.0000 0.0000 0.5000
Si: 0.0000 0.5000 0.0000
Si: 0.5000 0.0000 0.0000